5
Lattice="-2.6742 2.6742 4.2591 2.6742 -2.6742 4.2591 2.6742 2.6742 -4.2591" Properties=species:S:1:pos:R:3 comment="Sn2P2Pb (GGA-PBE, optimized geometry)" formation_energy_kcal_per_mol_atoms=4.10 relative_energy_mev_per_atom=0 space_group="No. 139" m_tot_mub_per_fu=0.00 pbc="T T T"
Sn 2.6742 0.0000 2.1296
Sn 0.0000 2.6742 2.1296
P 0.0000 0.0000 1.1142
P 0.0000 0.0000 7.4040
Pb 0.0000 0.0000 4.2591

=====

11
Lattice="2.2749 -7.3366 0.0000 2.2749 7.3366 0.0000 0.0000 0.0000 10.0937" Properties=species:S:1:pos:R:3 comment="In6Pb5 (GGA-PBE, optimized geometry)" formation_energy_kcal_per_mol_atoms=1.17 space_group="No. 65" m_tot_mub_per_fu=0.00 pbc="T T T"
In 0.0000 0.0000 2.4166
In 0.0000 0.0000 7.6771
In 2.2749 2.4374 2.4500
In 2.2749 2.4374 7.6438
In 2.2749 -2.4374 2.4500
In 2.2749 -2.4374 7.6438
Pb 2.2749 5.0377 0.0000
Pb 2.2749 4.9053 5.0469
Pb 2.2749 0.0000 5.0469
Pb 2.2749 -4.9053 5.0469
Pb 2.2749 -5.0377 0.0000

=====

4
Lattice="-2.4526 2.4526 3.4547 2.4526 -2.4526 3.4547 2.4526 2.4526 -3.4547" Properties=species:S:1:pos:R:3 comment="CaLaBe2 (GGA-PBE, optimized geometry)" formation_energy_kcal_per_mol_atoms=12.88 relative_energy_mev_per_atom=326 space_group="No. 119" m_tot_mub_per_fu=0.00 pbc="T T T"
Ca 0.0000 0.0000 0.0000
La 0.0000 2.4526 1.7274
Be 2.4526 0.0000 1.7274
Be 0.0000 0.0000 3.4547

=====

8
Lattice="-1.9202 1.9202 9.8049 1.9202 -1.9202 9.8049 1.9202 1.9202 -9.8049" Properties=species:S:1:pos:R:3 comment="HfAl2Rh (GGA-PBE, optimized geometry)" formation_energy_kcal_per_mol_atoms=-5.57 space_group="No. 122" m_tot_mub_per_fu=0.00 pbc="T T T"
Hf 0.0000 0.0000 0.0000
Hf 0.0000 1.9202 4.9024
Al 0.9601 -0.9347 7.3537
Al 0.9855 0.9601 2.4512
Al 0.9601 2.8549 -2.4512
Al 0.9347 0.9601 12.2561
Rh 1.9202 0.0000 4.9024
Rh 0.0000 0.0000 9.8049

=====

18
Lattice="1.6010 -6.6290 0.0000 1.6010 6.6290 0.0000 0.0000 0.0000 10.7396" Properties=species:S:1:pos:R:3 comment="Ca2TcMoN5 (GGA-PBE, optimized geometry)" space_group="No. 36" total_energy_ev_per_atom=-7.949 m_tot_mub_per_fu=0.00 pbc="T T T"
Ca 1.6010 5.2809 5.3698
Ca 1.6010 4.6341 1.1528
Ca 1.6010 -4.6341 6.5226
Ca 1.6010 -5.2809 0.0000
Tc 1.6010 0.4066 2.8103
Tc 1.6010 -0.4066 8.1801
Mo 1.6010 3.5900 8.9634
Mo 1.6010 -3.5900 3.5937
N 1.6010 6.0056 9.1642
N 1.6010 2.9568 4.9120
N 1.6010 2.4070 2.2479
N 1.6010 1.7979 8.6765
N 1.6010 0.1333 6.4453
N 1.6010 -0.1333 1.0755
N 1.6010 -1.7979 3.3067
N 1.6010 -2.4070 7.6177
N 1.6010 -2.9568 10.2818
N 1.6010 -6.0056 3.7945

=====

4
Lattice="0.0000 3.8879 3.8879 3.8879 0.0000 3.8879 3.8879 3.8879 0.0000" Properties=species:S:1:pos:R:3 comment="Hg2PbBr (GGA-PBE, optimized geometry)" relative_energy_mev_per_atom=191 space_group="No. 225" m_tot_mub_per_fu=0.00 pbc="T T T"
Hg 1.9439 1.9439 1.9439
Hg 5.8318 5.8318 5.8318
Pb 0.0000 0.0000 0.0000
Br 3.8879 3.8879 3.8879